# 1
Entry from Alexandria: Ce2Cd5Ga after structural relaxation (PBE).

Computed properties:
calculated volume: 24.99 Å³/atom
DFT total energy: -0.1943 Ry/atom
space group: Cmcm, No. 63
calculated formation energy: -0.210 eV per atom
spin magnetization: 0.227 μB per atom

a b c (Å): 4.720 9.000 9.752
angles (deg): 90.00 90.00 105.20
Sites, in units of the cell vectors:
Ce 0.804 0.608 0.750
Ce 0.196 0.392 0.250
Ce 0.000 0.000 0.000
Ce 0.000 0.000 0.500
Cd 0.191 0.382 0.896
Cd 0.809 0.618 0.104
Cd 0.191 0.382 0.604
Cd 0.809 0.618 0.396
Cd 0.357 0.713 0.968
Cd 0.643 0.287 0.032
Cd 0.357 0.713 0.532
Cd 0.643 0.287 0.468
Cd 0.599 0.198 0.750
Cd 0.401 0.802 0.250
Ga 0.448 0.896 0.750
Ga 0.552 0.104 0.250


# 2
Entry from Alexandria: Ta2RePt after structural relaxation (PBE).

Computed properties:
calculated volume: 16.62 Å³/atom
DFT total energy: -0.7869 Ry/atom
space group: Cmm2, No. 35
calculated formation energy: -0.158 eV per atom
spin magnetization: 0.000 μB per atom

a b c (Å): 2.784 2.784 8.799
angles (deg): 90.00 90.00 102.79
Sites, in units of the cell vectors:
Pt 0.000 0.000 0.505
Re 0.500 0.500 0.744
Ta 0.000 0.000 0.993
Ta 0.500 0.500 0.259


# 3
Entry from Alexandria: Mn2AsH after structural relaxation (PBE).

Computed properties:
calculated volume: 16.63 Å³/atom
DFT total energy: -0.4672 Ry/atom
distance to the lowest polymorph of the same formula: 259 meV per atom
space group: R-3m, No. 166
spin magnetization: 1.487 μB per atom

a b c (Å): 3.984 3.984 5.359
angles (deg): 68.18 68.18 60.00
Sites, in units of the cell vectors:
H 0.000 0.000 0.000
As 0.500 0.500 0.500
Mn 0.116 0.116 0.652
Mn 0.884 0.884 0.348


# 4
Entry from Alexandria: NdTm3Zn4 after structural relaxation (PBE).

Computed properties:
calculated volume: 22.62 Å³/atom
DFT total energy: -0.2382 Ry/atom
space group: P4/mmm, No. 123
calculated formation energy: -0.331 eV per atom
spin magnetization: 0.000 μB per atom

a b c (Å): 5.013 7.201 10.025
angles (deg): 90.00 90.00 90.00
Sites, in units of the cell vectors:
Zn 0.500 0.763 0.000
Zn 0.500 0.763 0.500
Zn 0.500 0.237 0.000
Zn 0.500 0.237 0.500
Zn 0.000 0.763 0.750
Zn 0.000 0.763 0.250
Zn 0.000 0.237 0.250
Zn 0.000 0.237 0.750
Tm 0.000 0.000 0.000
Tm 0.000 0.000 0.500
Tm 0.500 0.000 0.750
Tm 0.500 0.000 0.250
Tm 0.500 0.500 0.750
Tm 0.500 0.500 0.250
Nd 0.000 0.500 0.000
Nd 0.000 0.500 0.500


# 5
Entry from Alexandria: CaYPd after structural relaxation (PBE).

Computed properties:
calculated volume: 28.31 Å³/atom
DFT total energy: -0.3672 Ry/atom
distance to the lowest polymorph of the same formula: 85 meV per atom
space group: F-43m, No. 216
calculated formation energy: -0.443 eV per atom
spin magnetization: 0.000 μB per atom

a b c (Å): 4.934 4.934 4.934
angles (deg): 60.00 60.00 60.00
Sites, in units of the cell vectors:
Y 0.000 0.000 0.000
Ca 0.500 0.500 0.500
Pd 0.250 0.250 0.250


# 6
Entry from Alexandria: PmNd2Cu2 after structural relaxation (PBE).

Computed properties:
calculated volume: 26.70 Å³/atom
DFT total energy: -0.3337 Ry/atom
distance to the lowest polymorph of the same formula: 40 meV per atom
space group: P2_1/m, No. 11
calculated formation energy: -0.044 eV per atom
spin magnetization: 0.000 μB per atom

a b c (Å): 4.735 5.093 11.229
angles (deg): 99.60 90.00 90.00
Sites, in units of the cell vectors:
Pm 0.250 0.698 0.241
Pm 0.750 0.302 0.759
Nd 0.250 0.844 0.884
Nd 0.750 0.156 0.116
Nd 0.250 0.259 0.512
Nd 0.750 0.741 0.488
Cu 0.250 0.808 0.637
Cu 0.750 0.192 0.363
Cu 0.250 0.389 0.995
Cu 0.750 0.611 0.005


# 7
Entry from Alexandria: Hf4Mg2Sc after structural relaxation (PBE).

Computed properties:
calculated volume: 23.37 Å³/atom
DFT total energy: -0.5128 Ry/atom
space group: Cmmm, No. 65
calculated formation energy: 0.071 eV per atom
spin magnetization: 0.001 μB per atom

a b c (Å): 3.097 3.086 17.189
angles (deg): 90.00 95.17 90.00
Sites, in units of the cell vectors:
Hf 0.925 0.500 0.850
Hf 0.638 0.000 0.275
Hf 0.075 0.500 0.150
Hf 0.362 0.000 0.725
Mg 0.790 0.500 0.580
Mg 0.210 0.500 0.420
Sc 0.500 0.000 0.000


# 8
Entry from Alexandria: Be2GaCo5W2 after structural relaxation (PBE).

Computed properties:
calculated volume: 11.05 Å³/atom
DFT total energy: -0.5382 Ry/atom
space group: P4/mbm, No. 127
calculated formation energy: -0.131 eV per atom
spin magnetization: 0.174 μB per atom

a b c (Å): 2.842 8.819 8.819
angles (deg): 90.00 90.00 90.00
Sites, in units of the cell vectors:
Be 0.000 0.122 0.622
Be 0.000 0.878 0.378
Be 0.000 0.622 0.878
Be 0.000 0.378 0.122
Ga 0.000 0.000 0.000
Ga 0.000 0.500 0.500
Co 0.500 0.212 0.062
Co 0.500 0.788 0.938
Co 0.500 0.062 0.788
Co 0.500 0.712 0.438
Co 0.500 0.938 0.212
Co 0.500 0.288 0.562
Co 0.500 0.562 0.712
Co 0.500 0.438 0.288
Co 0.500 0.500 0.000
Co 0.500 0.000 0.500
W 0.000 0.677 0.177
W 0.000 0.323 0.823
W 0.000 0.177 0.323
W 0.000 0.823 0.677


# 9
Entry from Alexandria: DyTaCo2 after structural relaxation (PBE).

Computed properties:
calculated volume: 16.40 Å³/atom
DFT total energy: -0.5754 Ry/atom
distance to the lowest polymorph of the same formula: 0 meV per atom
space group: P4/mmm, No. 123
calculated formation energy: -0.162 eV per atom
spin magnetization: 0.000 μB per atom

a b c (Å): 3.104 3.104 6.811
angles (deg): 90.00 90.00 90.00
Sites, in units of the cell vectors:
Dy 0.500 0.500 0.500
Co 0.000 0.000 0.800
Co 0.000 0.000 0.200
Ta 0.500 0.500 0.000


# 10
Entry from Alexandria: TcAgRu2 after structural relaxation (PBE).

Computed properties:
calculated volume: 14.84 Å³/atom
DFT total energy: -0.5478 Ry/atom
distance to the lowest polymorph of the same formula: 294 meV per atom
space group: I4/mmm, No. 139
calculated formation energy: 0.490 eV per atom
spin magnetization: 0.000 μB per atom

a b c (Å): 4.742 4.742 4.742
angles (deg): 131.03 131.03 71.77
Sites, in units of the cell vectors:
Ag 0.750 0.250 0.500
Ru 0.000 0.000 0.000
Ru 0.500 0.500 0.000
Tc 0.250 0.750 0.500


# 11
Entry from Alexandria: BaHgAs2Se after structural relaxation (PBE).

Computed properties:
calculated volume: 49.35 Å³/atom
DFT total energy: -0.1508 Ry/atom
distance to the lowest polymorph of the same formula: 1037 meV per atom
space group: P4/mmm, No. 123
energy relative to the elements, uncorrected: 950 meV/atom
spin magnetization: 0.766 μB per atom

a b c (Å): 6.075 6.687 6.075
angles (deg): 90.00 90.00 90.00
Sites, in units of the cell vectors:
As 0.000 0.000 0.500
As 0.500 0.000 0.000
Hg 0.000 0.500 0.000
Se 0.500 0.500 0.500
Ba 0.000 0.000 0.000


# 12
Entry from Alexandria: AgHRhAu2 after structural relaxation (PBE).

Computed properties:
calculated volume: 14.29 Å³/atom
DFT total energy: -0.2883 Ry/atom
space group: P4/mmm, No. 123
spin magnetization: 0.000 μB per atom

a b c (Å): 4.509 4.509 3.515
angles (deg): 90.00 90.00 90.00
Sites, in units of the cell vectors:
Rh 0.000 0.000 0.500
Au 0.000 0.500 0.000
Au 0.500 0.000 0.000
Ag 0.500 0.500 0.500
H 0.000 0.000 0.000


# 13
Entry from Alexandria: YSb2Cl after structural relaxation (PBE).

Computed properties:
calculated volume: 29.69 Å³/atom
DFT total energy: -0.3603 Ry/atom
distance to the lowest polymorph of the same formula: 97 meV per atom
space group: P4mm, No. 99
energy relative to the elements, uncorrected: -763 meV/atom
spin magnetization: 0.000 μB per atom

a b c (Å): 3.747 3.747 8.460
angles (deg): 90.00 90.00 90.00
Sites, in units of the cell vectors:
Cl 0.500 0.500 0.663
Sb 0.000 0.000 0.091
Sb 0.500 0.500 0.264
Y 0.000 0.000 0.482